The following is a PBE-GGA calculation of an optimized crystal structure of La2TcW, from the Alexandria database.

The structure in CIF format:
```
data_La2TcW
_chemical_formula_sum 'La4 Tc2 W2'
_space_group_name_H-M_alt 'C 1 2/m 1'
_space_group_IT_number 12
_cell_length_a 6.255
_cell_length_b 9.597
_cell_length_c 3.146
_cell_angle_alpha 90.00
_cell_angle_beta 114.15
_cell_angle_gamma 90.00
loop_
_space_group_symop_operation_xyz
'x,y,z'
'-x,-y,-z'
'-x,y,-z'
'x,-y,z'
'x+1/2,y+1/2,z'
'-x+1/2,-y+1/2,-z'
'-x+1/2,y+1/2,-z'
'x+1/2,-y+1/2,z'
loop_
_atom_site_label
_atom_site_type_symbol
_atom_site_fract_x
_atom_site_fract_y
_atom_site_fract_z
_atom_site_occupancy
La1 La 0.250 0.250 0.000 1
Tc1 Tc 0.000 0.000 0.500 1
W1 W 0.000 0.500 0.500 1
```

Summary:
Density = 10786 kg/m³
Energy of formation from the pure elements = 17.1 kcal/mol of atoms
Energy above the most stable polymorph in this dataset = 572 meV/atom